1.
The following is a DFT calculation (PBE-GGA) of crystalline MnNiPb2 at its relaxed geometry.

The structure in POSCAR format:
```
MnNiPb2
1.0
-1.622 2.253 5.850
1.622 -2.253 5.850
1.622 2.253 -5.850
Mn Ni Pb
1 1 2
direct
0.000 0.000 0.000
0.164 0.664 0.500
0.397 0.397 0.000
0.676 0.176 0.500
```

Results
Offset from the most stable computed form = 0.132 eV per atom
VASP energy = -21.09 eV per cell
Formation energy = 318 meV per atom
Total magnetization = 4.013 μB/f.u.
SG = Imm2 (44)


2.
The following is a DFT calculation (PBE-GGA) of crystalline Mn2NiPb at its relaxed geometry.

The structure in POSCAR format:
```
Mn2NiPb
1.0
3.278 0.000 0.000
0.000 3.278 0.000
0.000 0.000 6.134
Mn Ni Pb
2 1 1
direct
0.000 0.000 0.000
0.500 0.500 0.230
0.000 0.000 0.417
0.500 0.500 0.702
```

Results
VASP energy = -26.37 eV per cell
Formation energy = 365 meV per atom
Total magnetization = 7.630 μB/f.u.
SG = P4mm (99)


3.
The following is a DFT calculation (PBE-GGA) of crystalline MnNiPb2 at its relaxed geometry.

The structure in POSCAR format:
```
MnNiPb2
1.0
-2.030 2.030 4.961
2.030 -2.030 4.961
2.030 2.030 -4.961
Mn Ni Pb
1 1 2
direct
0.000 0.000 0.000
0.250 0.750 0.500
0.500 0.500 0.000
0.750 0.250 0.500
```

Results
Offset from the most stable computed form = 0.251 eV per atom
VASP energy = -20.62 eV per cell
Formation energy = 438 meV per atom
Total magnetization = 3.787 μB/f.u.
SG = I-4m2 (119)


4.
The following is a DFT calculation (PBE-GGA) of crystalline Mn2NiPb at its relaxed geometry.

The structure in POSCAR format:
```
Mn2NiPb
1.0
1.572 0.907 8.432
-1.572 0.907 8.432
0.000 -1.815 8.432
Mn Ni Pb
2 1 1
direct
0.234 0.234 0.234
0.766 0.766 0.766
0.500 0.500 0.500
0.000 0.000 0.000
```

Results
VASP energy = -26.04 eV per cell
Formation energy = 447 meV per atom
Total magnetization = 8.562 μB/f.u.
SG = R-3m (166)


5.
The following is a DFT calculation (PBE-GGA) of crystalline MnNiPb at its relaxed geometry.

The structure in POSCAR format:
```
MnNiPb
1.0
-1.616 1.616 5.052
1.616 -1.616 5.052
1.616 1.616 -5.052
Mn Ni Pb
1 1 1
direct
0.000 0.000 0.000
0.387 0.387 0.000
0.704 0.704 0.000
```

Results
Offset from the most stable computed form = 0.089 eV per atom
VASP energy = -17.74 eV per cell
Formation energy = 306 meV per atom
Total magnetization = 4.241 μB/f.u.
SG = I4mm (107)


6.
The following is a DFT calculation (PBE-GGA) of crystalline MnNiPb2 at its relaxed geometry.

The structure in POSCAR format:
```
MnNiPb2
1.0
1.695 0.979 8.430
-1.695 0.979 8.430
0.000 -1.958 8.430
Mn Ni Pb
1 1 2
direct
0.000 0.000 0.000
0.500 0.500 0.500
0.242 0.242 0.242
0.758 0.758 0.758
```

Results
Offset from the most stable computed form = 0.251 eV per atom
VASP energy = -20.62 eV per cell
Formation energy = 437 meV per atom
Total magnetization = 4.300 μB/f.u.
SG = R-3m (166)


7.
The following is a DFT calculation (PBE-GGA) of crystalline MnNi2Pb at its relaxed geometry.

The structure in POSCAR format:
```
MnNi2Pb
1.0
-1.963 1.963 8.664
1.963 -1.963 8.664
1.963 1.963 -8.664
Mn Ni Pb
2 4 2
direct
0.000 0.000 0.000
0.750 0.250 0.500
0.078 0.625 0.953
0.375 0.328 0.453
0.672 0.125 0.047
0.875 0.922 0.547
0.250 0.750 0.500
0.500 0.500 0.000
```

Results
VASP energy = -44.73 eV per cell
Formation energy = 519 meV per atom
Total magnetization = 3.842 μB/f.u.
SG = I-42d (122)


8.
The following is a DFT calculation (PBE-GGA) of crystalline Mn2NiPb at its relaxed geometry.

The structure in POSCAR format:
```
Mn2NiPb
1.0
3.884 0.000 0.000
0.000 3.884 0.000
0.000 0.000 4.047
Mn Ni Pb
2 1 1
direct
0.000 0.500 0.000
0.500 0.000 0.000
0.000 0.000 0.500
0.500 0.500 0.500
```

Results
VASP energy = -26.56 eV per cell
Formation energy = 317 meV per atom
Total magnetization = 6.354 μB/f.u.
SG = P4/mmm (123)


Number 7 is which compound? MnNi2Pb